# CaRe

A geometry-optimized CaRe structure (PBE, Alexandria).

Properties
Calculated formation energy   1.425 eV/atom
Excess energy over the best structure of this formula in the dataset   1123.0 meV/atom
Crystal system   cubic

Cell lengths 3.515, 3.515, 3.515 Å; angles 90.00, 90.00, 90.00 degrees
Space group Pm-3m (No. 221)
Symmetry-distinct sites (fractional):
Ca (0.000, 0.000, 0.000) (multiplicity 1)
Re (0.500, 0.500, 0.500) (multiplicity 1)

# AcTbAg2Sn2

A geometry-optimized AcTbAg2Sn2 structure (PBE, Alexandria).

Properties
Calculated formation energy   -0.592 eV/atom
Crystal system   trigonal

Cell lengths 4.8259, 4.8259, 7.9558 Å; angles 90.00, 90.00, 120.00 degrees
Space group P-3m1 (No. 164)
Symmetry-distinct sites (fractional):
Ac (0.0000, 0.0000, 0.0000) (multiplicity 1)
Tb (0.0000, 0.0000, 0.5000) (multiplicity 1)
Ag (0.3333, 0.6667, 0.6912) (multiplicity 2)
Sn (0.3333, 0.6667, 0.2675) (multiplicity 2)

# HfNpTeN2

A geometry-optimized HfNpTeN2 structure (PBE, Alexandria).

Properties
E_form (uncorrected)   -624.2 kJ/mol of formula units
Crystal system   monoclinic

Cell lengths 6.738, 3.970, 7.525 Å; angles 90.00, 108.21, 90.00 degrees
Space group P2_1/m (No. 11)
Symmetry-distinct sites (fractional):
Hf (0.138, 0.250, 0.411) (multiplicity 2)
Np (0.176, 0.250, 0.928) (multiplicity 2)
Te (0.458, 0.750, 0.266) (multiplicity 2)
N (0.007, 0.750, 0.379) (multiplicity 2)
N (0.022, 0.750, 0.882) (multiplicity 2)

# KAs2Cl

A geometry-optimized KAs2Cl structure (PBE, Alexandria).

Properties
Excess energy over the best structure of this formula in the dataset   572.1 meV/atom
E_form (uncorrected)   -49.8 kJ/mol of formula units
Crystal system   tetragonal

Cell lengths 5.114, 5.114, 7.222 Å; angles 90.00, 90.00, 90.00 degrees
Space group I-4m2 (No. 119)
Symmetry-distinct sites (fractional):
K (0.000, 0.000, 0.000) (multiplicity 2)
As (0.000, 0.000, 0.500) (multiplicity 2)
As (0.000, 0.500, 0.750) (multiplicity 2)
Cl (0.000, 0.500, 0.250) (multiplicity 2)

no.,total magnetization (μB per atom)
1,1.182
2,0.000
3,0.600
4,0.000